# RbVB2F8

Crystalline RbVB2F8 at its relaxed geometry (PBE with a Hubbard U, Alexandria via LeMat-Bulk).

abc: 5.2081 5.2081 8.3910
angles: 71.92 71.92 60.00
With the nearest neighbours (Å) after each atom.
Fractional positions:
B 0.7459 0.7459 0.7624  4 F 1.42
B 0.2541 0.2541 0.2376  4 F 1.42
F 0.2648 0.0196 0.1786  1 B 1.42
F 0.5370 0.2648 0.1786  1 B 1.42
F 0.1939 0.1939 0.4184  1 B 1.42
F 0.7352 0.9804 0.8214  1 B 1.42
F 0.8061 0.8061 0.5816  1 B 1.42
F 0.9804 0.4630 0.8214  1 B 1.42
F 0.0196 0.5370 0.1786  1 B 1.42
F 0.4630 0.7352 0.8214  1 B 1.42
V 0.0000 0.0000 0.0000  6 F 2.38
Rb 0.5000 0.5000 0.5000  12 F 3.07-3.21

Calculated values
Total DFT energy (no corrections) in eV/atom: -5.62